Y3CrCo: optimized geometry, GGA-PBEsol.

calculated formation energy	0.880	eV/atom
symmetry	No. 221

a = 4.953 Å, b = 4.953 Å, c = 4.953 Å
α = 90.00°, β = 90.00°, γ = 90.00°
Last column: magnetic moment on the atom in μB.
Sites, in units of the cell vectors:
Cr  0.000  0.000  0.000  -0.05
Y  0.000  0.500  0.000  -0.10
Y  0.000  0.000  0.500  -0.10
Y  0.500  0.000  0.000  -0.10
Co  0.500  0.500  0.500  1.53